The following is a DFT calculation (PBE) of crystalline La3TlO at its relaxed geometry.

It has space group C2/m (No. 12), with a = 13.035 Å, b = 5.337 Å, c = 8.848 Å, α = 90.00°, β = 110.01° and γ = 90.00°. The distinct sites, in fractional coordinates, are La at (0.000, 0.000, 0.000), La at (0.000, 0.000, 0.500), La at (0.208, 0.500, 0.093), La at (0.218, 0.500, 0.622), Tl at (0.011, 0.500, 0.262) and O at (0.197, 0.000, 0.093).

The following is a DFT calculation (PBE) of crystalline La3TlO at its relaxed geometry.

It has space group P6_3/mmc (No. 194), with a = 4.0703 Å, b = 4.0703 Å, c = 21.2264 Å, α = 90.00°, β = 90.00° and γ = 120.00°. The distinct sites, in fractional coordinates, are La at (0.0000, 0.0000, 0.2500), La at (0.3333, 0.6667, 0.1147), Tl at (0.0000, 0.0000, 0.0000) and O at (0.3333, 0.6667, 0.2500).

The following is a DFT calculation (PBE) of crystalline La9Tl3O2 at its relaxed geometry.

It has space group P-3m1 (No. 164), with a = 7.2478 Å, b = 7.2478 Å, c = 8.8793 Å, α = 90.00°, β = 90.00° and γ = 120.00°. The distinct sites, in fractional coordinates, are La at (0.0000, 0.5000, 0.0000), La at (0.1694, 0.3388, 0.6697), Tl at (0.0000, 0.0000, 0.0000), Tl at (0.3333, 0.6667, 0.3335) and O at (0.3333, 0.6667, 0.8418).

The following is a DFT calculation (PBE) of crystalline La3TlO at its relaxed geometry.

It has space group P1 (No. 1), with a = 6.824 Å, b = 7.002 Å, c = 7.288 Å, α = 90.90°, β = 117.32° and γ = 99.68°. The distinct sites, in fractional coordinates, are La at (0.000, 0.000, 0.000), La at (0.062, 0.405, 0.696), La at (0.193, 0.557, 0.251), La at (0.452, 0.082, 0.565), La at (0.603, 0.324, 0.117), La at (0.857, 0.854, 0.440), Tl at (0.423, 0.836, 0.964), Tl at (0.632, 0.573, 0.737), O at (0.124, 0.861, 0.322) and O at (0.825, 0.102, 0.640).

The following is a DFT calculation (PBE) of crystalline La2TlO at its relaxed geometry.

It has space group I-42d (No. 122), with a = 7.325 Å, b = 7.325 Å, c = 8.485 Å, α = 90.00°, β = 90.00° and γ = 90.00°. The distinct sites, in fractional coordinates, are La at (0.147, 0.750, 0.125), Tl at (0.000, 0.000, 0.500) and O at (0.000, 0.000, 0.000).

The following is a DFT calculation (PBE) of crystalline La6Tl2O at its relaxed geometry.

It has space group Fm-3m (No. 225), with a = 10.282 Å, b = 10.282 Å, c = 10.282 Å, α = 90.00°, β = 90.00° and γ = 90.00°. The distinct sites, in fractional coordinates, are La at (0.000, 0.000, 0.246), Tl at (0.250, 0.250, 0.250) and O at (0.000, 0.000, 0.000).

The following is a DFT calculation (PBE) of crystalline La3TlO at its relaxed geometry.

It has space group P1 (No. 1), with a = 6.931 Å, b = 7.230 Å, c = 7.482 Å, α = 61.91°, β = 80.68° and γ = 69.16°. The distinct sites, in fractional coordinates, are La at (0.000, 0.000, 0.000), La at (0.003, 0.432, 0.435), La at (0.494, 0.368, 0.689), La at (0.497, 0.933, 0.244), La at (0.552, 0.491, 0.103), La at (0.920, 0.888, 0.577), Tl at (0.076, 0.423, 0.001), Tl at (0.418, 0.937, 0.682), O at (0.847, 0.175, 0.674) and O at (0.854, 0.822, 0.316).

The following is a DFT calculation (PBE) of crystalline La3TlO at its relaxed geometry.

It has space group R-3c (No. 167, hexagonal axes), with a = 9.3895 Å, b = 9.3895 Å, c = 12.0998 Å, α = 90.00°, β = 90.00° and γ = 120.00°. The distinct sites, in fractional coordinates, are La at (0.0000, 0.2401, 0.2500), Tl at (0.0000, 0.0000, 0.0000) and O at (0.0000, 0.0000, 0.2500).

no.,formation energy without anion corrections (eV/f.u.)
1,-6.540
2,-5.949
3,-14.112
4,-6.417
5,-6.055
6,-7.154
7,-6.409
8,-5.229